Record 1
# Ho8Te4CSe3 PBE-GGA optimized geometry
data_Ho8Te4CSe3
_symmetry_space_group_name_H-M 'R -3 m'
_symmetry_Int_Tables_number 166
_symmetry_space_group_name_Hall '-R 3 2"'
_cell_length_a 8.2026
_cell_length_b 8.2026
_cell_length_c 20.8775
_cell_angle_alpha 90.00
_cell_angle_beta 90.00
_cell_angle_gamma 120.00
loop_
_atom_site_label
_atom_site_type_symbol
_atom_site_fract_x
_atom_site_fract_y
_atom_site_fract_z
Ho1 Ho 0.0000 0.0000 0.2396
Ho2 Ho 0.0367 0.5184 0.2335
Te1 Te 0.0000 0.0000 0.0000
Te2 Te 0.0000 0.5000 0.0000
C1 C 0.0000 0.0000 0.5000
Se1 Se 0.0000 0.5000 0.5000
# formation energy without anion corrections: -1383 meV/atom
# ρ: 8.513 g cm⁻³
# crystal system: trigonal
# total moment: 0.000 μB/atom

=====

Record 2
# Ni5As2 PBE-GGA optimized geometry
data_Ni5As2
_symmetry_space_group_name_H-M 'P 63 c m'
_symmetry_Int_Tables_number 185
_symmetry_space_group_name_Hall 'P 6c -2'
_cell_length_a 6.8261
_cell_length_b 6.8261
_cell_length_c 12.5405
_cell_angle_alpha 90.00
_cell_angle_beta 90.00
_cell_angle_gamma 120.00
loop_
_atom_site_label
_atom_site_type_symbol
_atom_site_fract_x
_atom_site_fract_y
_atom_site_fract_z
Ni1 Ni 0.0000 0.0000 0.0000
Ni2 Ni 0.0000 0.2501 0.3282
Ni3 Ni 0.0000 0.3101 0.1211
Ni4 Ni 0.0000 0.3748 0.5173
Ni5 Ni 0.0000 0.3755 0.7299
Ni6 Ni 0.3333 0.6667 0.3554
As1 As 0.0000 0.0000 0.1951
As2 As 0.0000 0.3305 0.9267
As3 As 0.3333 0.6667 0.1540
# ΔE_f: -0.24 eV/atom
# ρ: 8.728 g cm⁻³
# crystal system: hexagonal
# total moment: 0.000 μB/atom
# excess energy over the best structure of this formula in the dataset: 0.000 eV/atom

=====

Record 3
# Ho5Er4Cd2 PBE-GGA optimized geometry
data_Ho5Er4Cd2
_symmetry_space_group_name_H-M 'I m m m'
_symmetry_Int_Tables_number 71
_symmetry_space_group_name_Hall '-I 2 2'
_cell_length_a 3.549
_cell_length_b 9.130
_cell_length_c 21.421
_cell_angle_alpha 90.00
_cell_angle_beta 90.00
_cell_angle_gamma 90.00
loop_
_atom_site_label
_atom_site_type_symbol
_atom_site_fract_x
_atom_site_fract_y
_atom_site_fract_z
Ho1 Ho 0.000 0.000 0.000
Ho2 Ho 0.000 0.296 0.346
Er1 Er 0.000 0.196 0.500
Er2 Er 0.000 0.500 0.097
Cd1 Cd 0.000 0.500 0.232
# ΔE_f: 0.17 eV/atom
# ρ: 8.223 g cm⁻³
# crystal system: orthorhombic
# total moment: 0.000 μB/atom

=====

Record 4
# Pm3Ho5Sc3 PBE-GGA optimized geometry
data_Pm3Ho5Sc3
_symmetry_space_group_name_H-M 'P -6 2 m'
_symmetry_Int_Tables_number 189
_symmetry_space_group_name_Hall 'P -6 -2'
_cell_length_a 10.7784
_cell_length_b 10.7784
_cell_length_c 3.4203
_cell_angle_alpha 90.00
_cell_angle_beta 90.00
_cell_angle_gamma 120.00
loop_
_atom_site_label
_atom_site_type_symbol
_atom_site_fract_x
_atom_site_fract_y
_atom_site_fract_z
Pm1 Pm 0.0000 0.8324 0.0000
Ho1 Ho 0.0000 0.3496 0.0000
Ho2 Ho 0.3333 0.6667 0.0000
Sc1 Sc 0.0000 0.5918 0.5000
# ΔE_f: 0.36 eV/atom
# ρ: 6.729 g cm⁻³
# crystal system: hexagonal
# total moment: 0.000 μB/atom

=====

Record 5
# MnRePdSe PBE-GGA optimized geometry
data_MnRePdSe
_symmetry_space_group_name_H-M 'I 4 m m'
_symmetry_Int_Tables_number 107
_symmetry_space_group_name_Hall 'I 4 -2'
_cell_length_a 2.786
_cell_length_b 2.786
_cell_length_c 15.529
_cell_angle_alpha 90.00
_cell_angle_beta 90.00
_cell_angle_gamma 90.00
loop_
_atom_site_label
_atom_site_type_symbol
_atom_site_fract_x
_atom_site_fract_y
_atom_site_fract_z
Mn1 Mn 0.000 0.000 0.000
Re1 Re 0.000 0.000 0.386
Pd1 Pd 0.000 0.000 0.761
Se1 Se 0.000 0.000 0.592
# formation energy without anion corrections: 75 meV/atom
# ρ: 11.750 g cm⁻³
# crystal system: tetragonal
# total moment: 0.000 μB/atom
# excess energy over the best structure of this formula in the dataset: 0.001 eV/atom

=====

Record 6
# CsTeAuCl6 PBE-GGA optimized geometry
data_CsTeAuCl6
_symmetry_space_group_name_H-M 'P 1'
_symmetry_Int_Tables_number 1
_cell_length_a 6.980
_cell_length_b 7.174
_cell_length_c 7.519
_cell_angle_alpha 108.93
_cell_angle_beta 101.07
_cell_angle_gamma 97.93
loop_
_symmetry_equiv_pos_as_xyz
'x,y,z'
loop_
_atom_site_label
_atom_site_type_symbol
_atom_site_fract_x
_atom_site_fract_y
_atom_site_fract_z
Cs1 Cs 0.000 0.000 0.000
Te1 Te 0.448 0.471 0.602
Au1 Au 0.745 0.587 0.193
Cl1 Cl 0.169 0.515 0.388
Cl2 Cl 0.229 0.251 0.698
Cl3 Cl 0.431 0.789 0.872
Cl4 Cl 0.488 0.175 0.331
Cl5 Cl 0.700 0.744 0.498
Cl6 Cl 0.795 0.442 0.890
# formation energy without anion corrections: -847 meV/atom
# ρ: 3.261 g cm⁻³
# crystal system: triclinic
# total moment: 0.000 μB/atom